An optimized crystal structure of Be2AsBr. Source: Alexandria via LeMat-Bulk, functional GGA-PBE.

## Properties
SG: No. 8
calculated volume: 20.76 Å³ per atom
offset from the most stable computed form: 0.62 eV/f.u.
total energy: -3.59 eV per atom

Cell: 6.4481 3.6195 7.1605 Å, 90.00 96.51 90.00°
With the nearest neighbours (Å) after each atom.
Fractional positions:
Be: 0.0000 0.0000 0.0000  3 Be 2.19-2.28, 3 As 2.25-2.30, 1 Br 2.32
Be: 0.1496 0.5000 0.9076  3 Be 2.19-2.28
Be: 0.5000 0.5000 0.0000  3 Be 2.19-2.28, 3 As 2.25-2.30, 1 Br 2.32
Be: 0.6496 0.0000 0.9076  3 Be 2.19-2.28
As: 0.3493 0.0000 0.1122  3 Be 2.25-2.30
As: 0.8493 0.5000 0.1122  3 Be 2.25-2.30
Br: 0.0274 0.0000 0.6795  3 Be 2.32-2.50
Br: 0.5274 0.5000 0.6795  3 Be 2.32-2.50